The following is a PBE with a Hubbard U calculation of NiCF2 after structural relaxation, from Alexandria.

Calculated values
Symmetry: No. 166
Volume in A^3/atom: 10.08
Excess energy over the best structure of this formula in the dataset in meV/atom: 286

```
NiCF2
1.0
1.2873 0.7432 7.0261
-1.2873 0.7432 7.0261
0.0000 -1.4864 7.0261
Ni C F
1 1 2
direct
0.0000 0.0000 0.0000
0.5000 0.5000 0.5000
0.0848 0.0848 0.0848
0.9152 0.9152 0.9152
```